No. 1
Material: SrGa8Ir2
Method: DFT, PBE-GGA
State: relaxed

Computed properties:
Theoretical density, kg/m3: 5969
V, Å³ per cell: 286.5
VASP energy, eV/atom: -4.02
Formation enthalpy at 0 K, meV per atom: -56

Cell: 5.8264 5.8264 8.4390 Å, 90.00 90.00 90.00°
Positions (direct):
Ga: 0.2476 0.7524 0.8181
Ga: 0.7524 0.7524 0.1819
Ga: 0.2476 0.2476 0.8181
Ga: 0.7524 0.2476 0.8181
Ga: 0.2476 0.2476 0.1819
Ga: 0.7524 0.2476 0.1819
Ga: 0.2476 0.7524 0.1819
Ga: 0.7524 0.7524 0.8181
Sr: 0.5000 0.5000 0.5000
Ir: 0.0000 0.5000 0.0000
Ir: 0.5000 0.0000 0.0000

---

No. 2
Material: La2CuBiO5
Method: DFT, PBE-GGA
State: relaxed

Computed properties:
Theoretical density, kg/m3: 6712
V, Å³ per cell: 311.9
ΔE_f (raw), meV/atom: -1790
VASP energy, eV/atom: -6.53

Cell: 6.5312 6.9104 6.9104 Å, 90.00 90.00 90.00°
Positions (direct):
O: 0.2636 0.1474 0.6474
O: 0.5000 0.5000 0.5000
O: 0.2636 0.3526 0.1474
O: 0.7364 0.6474 0.8526
O: 0.2636 0.6474 0.8526
O: 0.7364 0.3526 0.1474
O: 0.5000 0.0000 0.0000
O: 0.7364 0.8526 0.3526
O: 0.7364 0.1474 0.6474
O: 0.2636 0.8526 0.3526
Cu: 0.0000 0.0000 0.0000
Cu: 0.0000 0.5000 0.5000
Bi: 0.0000 0.0000 0.5000
Bi: 0.0000 0.5000 0.0000
La: 0.5000 0.8233 0.6767
La: 0.5000 0.3233 0.8233
La: 0.5000 0.6767 0.1767
La: 0.5000 0.1767 0.3233

---

No. 3
Material: Fe2HOsW
Method: DFT, PBE-GGA
State: relaxed

Computed properties:
Theoretical density, kg/m3: 15212
V, Å³ per cell: 53.1
Distance to the lowest polymorph of the same formula, meV per atom: 0
VASP energy, eV/atom: -8.84

Cell: 3.7550 3.7550 3.7685 Å, 90.00 90.00 90.00°
Positions (direct):
Fe: 0.0000 0.5000 0.0000
Fe: 0.5000 0.0000 0.0000
W: 0.5000 0.5000 0.5000
Os: 0.0000 0.0000 0.5000
H: 0.0000 0.0000 0.0000

---

No. 4
Material: In3Pd3Pt2
Method: DFT, PBE-GGA
State: relaxed

Computed properties:
Theoretical density, kg/m3: 12073
V, Å³ per cell: 289.9
VASP energy, eV/atom: -4.87
Formation enthalpy at 0 K, meV per atom: -382

Cell: 5.4421 7.8430 7.8430 Å, 120.00 90.00 90.00°
Positions (direct):
Pt: 0.5000 0.6667 0.3333
Pt: 0.0000 0.3333 0.6667
Pt: 0.5000 0.3333 0.6667
Pt: 0.0000 0.6667 0.3333
Pd: 0.2500 0.2217 0.2217
Pd: 0.7500 0.0000 0.2217
Pd: 0.2500 0.7783 0.0000
Pd: 0.2500 0.0000 0.7783
Pd: 0.7500 0.7783 0.7783
Pd: 0.7500 0.2217 0.0000
In: 0.7500 0.6054 0.0000
In: 0.2500 0.6054 0.6054
In: 0.2500 0.0000 0.3946
In: 0.7500 0.0000 0.6054
In: 0.2500 0.3946 0.0000
In: 0.7500 0.3946 0.3946

---

No. 5
Material: Sr2USn3Pt4
Method: DFT, PBE-GGA
State: relaxed

Computed properties:
Theoretical density, kg/m3: 10484
V, Å³ per cell: 245.5
VASP energy, eV/atom: -5.79
Formation enthalpy at 0 K, meV per atom: -707

Cell: 4.7115 4.7115 11.0578 Å, 90.00 90.00 90.00°
Positions (direct):
Sn: 0.5000 0.0000 0.8803
Sn: 0.0000 0.0000 0.5000
Sn: 0.0000 0.5000 0.1197
Sr: 0.5000 0.0000 0.2259
Sr: 0.0000 0.5000 0.7741
Pt: 0.5000 0.5000 0.0000
Pt: 0.0000 0.5000 0.3607
Pt: 0.5000 0.0000 0.6393
Pt: 0.0000 0.0000 0.0000
U: 0.5000 0.5000 0.5000

---

No. 6
Material: NaLiTl2Pb
Method: DFT, PBE-GGA
State: relaxed

Computed properties:
Theoretical density, kg/m3: 7601
V, Å³ per cell: 282.2
Distance to the lowest polymorph of the same formula, meV per atom: 0
VASP energy, eV/atom: -2.36
Formation enthalpy at 0 K, meV per atom: -24

Cell: 6.5585 9.7462 6.5756 Å, 137.82 90.00 90.00°
Positions (direct):
Pb: 0.2500 0.2362 0.4725
Pb: 0.7500 0.7638 0.5275
Tl: 0.0000 0.2607 0.0000
Tl: 0.0000 0.7393 0.0000
Tl: 0.5000 0.7393 0.0000
Tl: 0.5000 0.2607 0.0000
Li: 0.7500 0.4462 0.8925
Li: 0.2500 0.5538 0.1075
Na: 0.2500 0.8718 0.7436
Na: 0.7500 0.1282 0.2564

---

No. 7
Material: AgSnGe
Method: DFT, PBE-GGA
State: relaxed

Computed properties:
Theoretical density, kg/m3: 7565
V, Å³ per cell: 65.7
Distance to the lowest polymorph of the same formula, meV per atom: 17
VASP energy, eV/atom: -3.64
Formation enthalpy at 0 K, meV per atom: 180

Cell: 3.2917 4.7998 4.7998 Å, 120.00 90.00 90.00°
Positions (direct):
Sn: 0.6300 0.6667 0.3333
Ag: 0.2197 0.3333 0.6667
Ge: 0.1502 0.0000 0.0000

---

No. 8
Material: Cs2Hg3Bi2
Method: DFT, PBE-GGA
State: relaxed

Computed properties:
Theoretical density, kg/m3: 5946
V, Å³ per cell: 718.0
Distance to the lowest polymorph of the same formula, meV per atom: 122
VASP energy, eV/atom: -1.61
Formation enthalpy at 0 K, meV per atom: -132

Cell: 9.7703 9.7703 9.7703 Å, 109.47 109.47 109.47°
Positions (direct):
Cs: 0.5000 0.5139 0.5000
Cs: 0.4861 0.9861 0.9861
Cs: 0.0139 0.5000 0.0000
Cs: 0.0000 0.0000 0.5139
Hg: 0.7500 0.5326 0.2826
Hg: 0.7826 0.2500 0.5326
Hg: 0.7174 0.7500 0.9674
Hg: 0.2500 0.9674 0.2174
Hg: 0.4674 0.2174 0.7500
Hg: 0.0326 0.2826 0.2500
Bi: 0.4863 0.5000 0.0000
Bi: 0.5000 0.9863 0.5000
Bi: 0.0137 0.5137 0.5137
Bi: 0.0000 0.0000 0.9863

---

No. 9
Material: HgIrW2
Method: DFT, PBE-GGA
State: relaxed

Computed properties:
Theoretical density, kg/m3: 18857
V, Å³ per cell: 67.0
VASP energy, eV/atom: -8.03
Formation enthalpy at 0 K, meV per atom: 733

Cell: 4.8858 4.8858 2.8054 Å, 90.00 90.00 90.00°
Positions (direct):
Ir: 0.0000 0.5000 0.5000
Hg: 0.5000 0.0000 0.5000
W: 0.0000 0.0000 0.0000
W: 0.5000 0.5000 0.0000

---

No. 10
Material: Ac12Si5Sn
Method: DFT, PBE-GGA
State: relaxed

Computed properties:
Theoretical density, kg/m3: 7927
V, Å³ per cell: 624.9
ΔE_f (raw), meV/atom: -418
VASP energy, eV/atom: -4.89

Cell: 9.3350 9.3350 9.3350 Å, 106.49 111.60 110.36°
Positions (direct):
Ac: 0.8019 0.5719 0.7700
Ac: 0.1981 0.9681 0.7700
Ac: 0.5493 0.8206 0.7287
Ac: 0.7053 0.6798 0.3851
Ac: 0.0920 0.8206 0.2713
Ac: 0.1981 0.4281 0.2300
Ac: 0.4507 0.1794 0.2713
Ac: 0.2947 0.3202 0.6149
Ac: 0.8019 0.0319 0.2300
Ac: 0.9080 0.1794 0.7287
Ac: 0.7053 0.3202 0.0255
Ac: 0.2947 0.6798 0.9745
Si: 0.5000 0.1082 0.6082
Si: 0.3825 0.3825 0.0000
Si: 0.0000 0.0000 0.0000
Si: 0.6175 0.6175 0.0000
Si: 0.5000 0.8918 0.3918
Sn: 0.0000 0.5000 0.5000

---

No. 11
Material: TeBrOF2
Method: DFT, PBE-GGA
State: relaxed

Computed properties:
Theoretical density, kg/m3: 5236
V, Å³ per cell: 82.9
ΔE_f (raw), meV/atom: -824
Distance to the lowest polymorph of the same formula, meV per atom: 0
VASP energy, eV/atom: -3.53

Cell: 4.4633 4.4633 4.1628 Å, 90.00 90.00 90.00°
Positions (direct):
F: 0.0000 0.5000 0.0000
F: 0.5000 0.0000 0.0000
Br: 0.5000 0.5000 0.5000
O: 0.0000 0.0000 0.5000
Te: 0.0000 0.0000 0.0000

---

No. 12
Material: Ba6Sr5
Method: DFT, PBE-GGA
State: relaxed

Computed properties:
Theoretical density, kg/m3: 3152
V, Å³ per cell: 664.9
VASP energy, eV/atom: -1.74
Formation enthalpy at 0 K, meV per atom: 74

Cell: 13.2563 10.7350 6.9435 Å, 71.35 58.81 51.87°
Positions (direct):
Sr: 0.2198 0.5603 0.5000
Sr: 0.3636 0.2728 0.0000
Sr: 0.5000 0.0000 0.5000
Sr: 0.6364 0.7272 0.0000
Sr: 0.7802 0.4397 0.5000
Ba: 0.0494 0.2939 0.8062
Ba: 0.1900 0.0000 0.3128
Ba: 0.6567 0.2939 0.1938
Ba: 0.8100 0.0000 0.6872
Ba: 0.3433 0.7061 0.8062
Ba: 0.9506 0.7061 0.1938

---

No. 13
Material: InPAu2
Method: DFT, PBE-GGA
State: relaxed

Computed properties:
Theoretical density, kg/m3: 11689
V, Å³ per cell: 76.7
Distance to the lowest polymorph of the same formula, meV per atom: 251
VASP energy, eV/atom: -3.47
Formation enthalpy at 0 K, meV per atom: 206

Cell: 4.4096 4.4096 4.0061 Å, 90.00 90.00 100.18°
Positions (direct):
Au: 0.5000 0.5000 0.0000
Au: 0.0000 0.0000 0.0000
P: 0.0000 0.5000 0.5000
In: 0.5000 0.0000 0.5000

---

No. 14
Material: CuRu2Rh
Method: DFT, PBE-GGA
State: relaxed

Computed properties:
Theoretical density, kg/m3: 10883
V, Å³ per cell: 56.2
Distance to the lowest polymorph of the same formula, meV per atom: 226
VASP energy, eV/atom: -7.16
Formation enthalpy at 0 K, meV per atom: 345

Cell: 2.6592 2.6592 9.0176 Å, 90.00 90.00 118.12°
Positions (direct):
Ru: 0.5000 0.5000 0.2510
Ru: 0.0000 0.0000 0.0024
Rh: 0.5000 0.5000 0.7464
Cu: 0.0000 0.0000 0.5002

---

No. 15
Material: ZrNb5Tc4
Method: DFT, PBE-GGA
State: relaxed

Computed properties:
Theoretical density, kg/m3: 9226
V, Å³ per cell: 170.6
VASP energy, eV/atom: -10.31
Formation enthalpy at 0 K, meV per atom: -273

Cell: 3.2053 3.2053 16.6039 Å, 90.00 90.00 90.00°
Positions (direct):
Tc: 0.0000 0.0000 0.2110
Tc: 0.0000 0.0000 0.7890
Tc: 0.0000 0.0000 0.5961
Tc: 0.0000 0.0000 0.4039
Nb: 0.5000 0.5000 0.3083
Nb: 0.5000 0.5000 0.5000
Nb: 0.5000 0.5000 0.1177
Nb: 0.5000 0.5000 0.6917
Nb: 0.5000 0.5000 0.8823
Zr: 0.0000 0.0000 0.0000

---

No. 16
Material: SnBi2Pb7
Method: DFT, PBE-GGA
State: relaxed

Computed properties:
Theoretical density, kg/m3: 9407
V, Å³ per cell: 350.8
VASP energy, eV/atom: -3.67
Formation enthalpy at 0 K, meV per atom: 104

Cell: 3.4784 11.2935 11.2935 Å, 127.75 90.00 90.00°
Positions (direct):
Pb: 0.5000 0.8729 0.6872
Pb: 0.5000 0.3128 0.1271
Pb: 0.0000 0.8112 0.1888
Pb: 0.0000 0.1888 0.8112
Pb: 0.5000 0.1271 0.3128
Pb: 0.5000 0.6872 0.8729
Pb: 0.5000 0.5000 0.5000
Sn: 0.0000 0.0000 0.0000
Bi: 0.5000 0.6725 0.3275
Bi: 0.5000 0.3275 0.6725

---

No. 17
Material: Ca2ZrH6
Method: DFT, PBE-GGA
State: relaxed

Computed properties:
Theoretical density, kg/m3: 2547
V, Å³ per cell: 115.7
VASP energy, eV/atom: -3.84

Cell: 5.4691 5.4691 5.4691 Å, 60.00 60.00 60.00°
Positions (direct):
H: 0.7406 0.2594 0.7406
H: 0.7406 0.2594 0.2594
H: 0.7406 0.7406 0.2594
H: 0.2594 0.2594 0.7406
H: 0.2594 0.7406 0.7406
H: 0.2594 0.7406 0.2594
Zr: 0.0000 0.0000 0.0000
Ca: 0.2500 0.2500 0.2500
Ca: 0.7500 0.7500 0.7500

---

No. 18
Material: PrGa2Pd5Au
Method: DFT, PBE-GGA
State: relaxed

Computed properties:
Theoretical density, kg/m3: 10055
V, Å³ per cell: 166.7
VASP energy, eV/atom: -4.87
Formation enthalpy at 0 K, meV per atom: -416

Cell: 4.7527 4.7527 7.3800 Å, 90.00 90.00 90.00°
Positions (direct):
Ga: 0.5000 0.5000 0.1618
Ga: 0.5000 0.5000 0.8382
Pd: 0.5000 0.0000 0.2363
Pd: 0.5000 0.5000 0.5000
Pd: 0.5000 0.0000 0.7637
Pd: 0.0000 0.5000 0.7637
Pd: 0.0000 0.5000 0.2363
Pr: 0.0000 0.0000 0.5000
Au: 0.0000 0.0000 0.0000

---

No. 19
Material: InAg5Au6
Method: DFT, PBE-GGA
State: relaxed

Computed properties:
Theoretical density, kg/m3: 13917
V, Å³ per cell: 219.1
VASP energy, eV/atom: -3.12
Formation enthalpy at 0 K, meV per atom: -63

Cell: 4.2449 9.3320 7.7863 Å, 53.18 73.95 62.52°
Positions (direct):
Ag: 0.5000 0.8287 0.3425
Ag: 0.5000 0.1713 0.6575
Ag: 0.0000 0.3358 0.3283
Ag: 0.5000 0.5000 0.0000
Ag: 0.0000 0.6642 0.6717
Au: 0.7509 0.4161 0.6656
Au: 0.2513 0.2493 0.0000
Au: 0.7487 0.7507 0.0000
Au: 0.2491 0.9184 0.6656
Au: 0.7509 0.0816 0.3344
Au: 0.2491 0.5839 0.3344
In: 0.0000 0.0000 0.0000

---

No. 20
Material: NaCa7
Method: DFT, PBE-GGA
State: relaxed

Computed properties:
Theoretical density, kg/m3: 1516
V, Å³ per cell: 332.5
VASP energy, eV/atom: -1.88
Formation enthalpy at 0 K, meV per atom: 33

Cell: 7.7761 7.7761 7.7761 Å, 60.00 60.00 60.00°
Positions (direct):
Ca: 0.5000 0.0000 0.5000
Ca: 0.0000 0.0000 0.5000
Ca: 0.5000 0.5000 0.0000
Ca: 0.0000 0.5000 0.5000
Ca: 0.5000 0.0000 0.0000
Ca: 0.0000 0.5000 0.0000
Ca: 0.5000 0.5000 0.5000
Na: 0.0000 0.0000 0.0000